Below is a relaxed CoRu2Cl crystal, with properties calculated at the PBE-GGA level.

Values from the calculation:
Space group: Fm-3m (225)
Offset from the most stable computed form, eV per atom: 0.545
Volume, Å³/atom: 13.4
Magnetization, μB per formula unit: 1.45

Cell lengths 4.2272, 4.2272, 4.2272 Å; angles 60.00, 60.00, 60.00 degrees
Site moments in Bohr magnetons follow the coordinates.
Positions (direct):
Ru  0.7500  0.7500  0.7500  0.25
Ru  0.2500  0.2500  0.2500  0.25
Cl  0.0000  0.0000  0.0000  -0.04
Co  0.5000  0.5000  0.5000  1.00